Material: Rb2NaMg2H7
Method: DFT, PBE-GGA
State: optimized geometry

Cell lengths 11.264, 11.264, 11.264 Å; angles 159.43, 159.43, 29.26 degrees
Fractional positions:
Rb 0.181 0.181 0.000
Rb 0.819 0.819 0.000
Na 0.000 0.000 0.000
Mg 0.413 0.413 0.000
Mg 0.587 0.587 0.000
H 0.085 0.585 0.500
H 0.322 0.322 0.000
H 0.415 0.915 0.500
H 0.500 0.500 0.000
H 0.585 0.085 0.500
H 0.678 0.678 0.000
H 0.915 0.415 0.500

Summary:
SG: I4/mmm
Calculated density, g/cm³: 2.35
Total energy, eV/cell: -32.6



Material: Rb2NaMgH5
Method: DFT, PBE-GGA
State: optimized geometry

Cell lengths 7.596, 7.596, 12.101 Å; angles 90.00, 90.00, 151.92 degrees
Fractional positions:
Rb 0.099 0.901 0.500
Rb 0.156 0.844 0.136
Rb 0.844 0.156 0.636
Rb 0.901 0.099 0.000
Na 0.197 0.803 0.846
Na 0.803 0.197 0.346
Mg 0.474 0.526 0.260
Mg 0.526 0.474 0.760
H 0.040 0.960 0.818
H 0.286 0.714 0.463
H 0.343 0.657 0.220
H 0.398 0.602 0.815
H 0.488 0.512 0.613
H 0.512 0.488 0.113
H 0.602 0.398 0.315
H 0.657 0.343 0.720
H 0.714 0.286 0.963
H 0.960 0.040 0.318

Summary:
SG: Cmc2_1
Calculated density, g/cm³: 2.26
Total energy, eV/cell: -46.4



Material: RbNaMgH4
Method: DFT, PBE-GGA
State: optimized geometry

Cell lengths 7.265, 7.265, 5.620 Å; angles 90.00, 90.00, 134.57 degrees
Fractional positions:
Rb 0.096 0.904 0.750
Rb 0.904 0.096 0.250
Na 0.379 0.621 0.750
Na 0.621 0.379 0.250
Mg 0.252 0.748 0.250
Mg 0.748 0.252 0.750
H 0.000 0.500 0.000
H 0.000 0.500 0.500
H 0.107 0.893 0.250
H 0.404 0.596 0.250
H 0.500 0.000 0.000
H 0.500 0.000 0.500
H 0.596 0.404 0.750
H 0.893 0.107 0.750

Summary:
SG: Cmcm
Calculated density, g/cm³: 2.15
Total energy, eV/cell: -37.3



Material: Rb3NaMg2H9
Method: DFT, PBE-GGA
State: optimized geometry

Cell lengths 5.967, 5.967, 7.354 Å; angles 90.00, 90.00, 120.00 degrees
Fractional positions:
Rb 0.000 0.000 0.000
Rb 0.333 0.667 0.660
Rb 0.667 0.333 0.340
Na 0.000 0.000 0.500
Mg 0.333 0.667 0.162
Mg 0.667 0.333 0.838
H 0.000 0.500 0.000
H 0.178 0.357 0.311
H 0.178 0.822 0.311
H 0.357 0.178 0.689
H 0.500 0.000 0.000
H 0.500 0.500 0.000
H 0.643 0.822 0.311
H 0.822 0.178 0.689
H 0.822 0.643 0.689

Summary:
SG: P-3m1
Calculated density, g/cm³: 2.47
Total energy, eV/cell: -39.1



Material: NaMg2H8Rh
Method: DFT, PBE-GGA
State: optimized geometry

Cell lengths 4.575, 4.575, 6.520 Å; angles 90.00, 90.00, 120.00 degrees
Fractional positions:
Na 0.000 0.000 0.000
Mg 0.333 0.667 0.342
Mg 0.667 0.333 0.658
H 0.168 0.337 0.650
H 0.168 0.832 0.650
H 0.333 0.667 0.068
H 0.337 0.168 0.350
H 0.663 0.832 0.650
H 0.667 0.333 0.932
H 0.832 0.168 0.350
H 0.832 0.663 0.350
Rh 0.000 0.000 0.500

Summary:
SG: P-3m1
Calculated density, g/cm³: 2.56
Total energy, eV/cell: -41.6



Material: NaMgH4Rh
Method: DFT, PBE-GGA
State: optimized geometry

Cell lengths 5.972, 5.972, 5.972 Å; angles 144.81, 144.81, 50.62 degrees
Fractional positions:
Na 0.000 0.000 0.000
Mg 0.725 0.725 0.000
H 0.189 0.189 0.000
H 0.351 0.851 0.500
H 0.517 0.517 0.000
H 0.851 0.351 0.500
Rh 0.342 0.342 0.000

Summary:
SG: I4mm
Calculated density, g/cm³: 3.64
Total energy, eV/cell: -25.4



Material: Na2MgH6Ru
Method: DFT, PBE-GGA
State: optimized geometry

Cell lengths 5.147, 5.147, 5.147 Å; angles 60.00, 60.00, 60.00 degrees
Fractional positions:
Na 0.250 0.250 0.250
Na 0.750 0.750 0.750
Mg 0.000 0.000 0.000
H 0.264 0.264 0.736
H 0.264 0.736 0.264
H 0.264 0.736 0.736
H 0.736 0.264 0.264
H 0.736 0.264 0.736
H 0.736 0.736 0.264
Ru 0.500 0.500 0.500

Summary:
SG: Fm-3m
Calculated density, g/cm³: 3.06
Total energy, eV/cell: -36.0



Material: Na2MgSbH
Method: DFT, PBE-GGA
State: optimized geometry

Cell lengths 4.484, 4.484, 4.888 Å; angles 90.00, 90.00, 90.00 degrees
Fractional positions:
Na 0.000 0.500 0.000
Na 0.500 0.000 0.000
Mg 0.000 0.000 0.500
Sb 0.500 0.500 0.500
H 0.000 0.000 0.000

Summary:
SG: P4/mmm
Calculated density, g/cm³: 3.26
Total energy, eV/cell: -13.1